This record from the Alexandria database describes a relaxed structure of Ga2AgIr. The functional is PBE.

Calculated values
formation enthalpy at 0 K: -0.14 eV/atom
DOS(E_F): 1.4 states/eV/f.u.

a b c (Å): 2.9270 2.9270 7.5152
angles (deg): 90.00 90.00 90.00
Last column: nearest neighbours and their distance in Å.
Space group P4/mmm (No. 123)
Asymmetric unit:
Ga  0.0000  0.0000  0.2213 [2 per cell]  4 Ir 2.66, 4 Ga 2.93, 4 Ag 2.94
Ag  0.5000  0.5000  0.5000 [1 per cell]  4 Ag 2.93, 8 Ga 2.94
Ir  0.5000  0.5000  0.0000 [1 per cell]  8 Ga 2.66, 4 Ir 2.93

This record from the Alexandria database describes a relaxed structure of AcCe2PdN4. The functional is PBE.

Calculated values
calculated total energy: -62.6 eV/f.u.
DOS(E_F): 3.2 states/eV/f.u.

a b c (Å): 3.5613 12.0686 12.0143
angles (deg): 90.00 90.00 90.00
Last column: nearest neighbours and their distance in Å.
Space group Cmcm (No. 63)
Asymmetric unit:
Ac  0.0000  0.1097  0.2500 [4 per cell]  6 N 2.62-2.88
Ce  0.0000  0.3696  0.0536 [8 per cell]  6 N 2.28-2.55
Pd  0.0000  0.1528  0.7500 [4 per cell]  4 N 2.17-2.21
N  0.0000  0.0000  0.0000 [4 per cell]  4 Ce 2.46
N  0.0000  0.2682  0.6069 [8 per cell]  1 Pd 2.21, 1 Ce 2.28
N  0.0000  0.4500  0.2500 [4 per cell]  2 Pd 2.17

This record from the Alexandria database describes a relaxed structure of CaTeAs2. The functional is PBE.

Calculated values
calculated total energy: -16.7 eV/f.u.

a b c (Å): 4.1292 4.1292 21.4130
angles (deg): 90.00 90.00 120.00
Last column: nearest neighbours and their distance in Å.
Space group R3m (No. 160, hexagonal axes)
Asymmetric unit:
Ca  0.0000  0.0000  0.0000 [3 per cell]  3 As 3.05, 3 Te 3.13
Te  0.0000  0.0000  0.7614 [3 per cell]  3 As 3.06, 3 Ca 3.13
As  0.0000  0.0000  0.2446 [3 per cell]  3 As 2.71
As  0.0000  0.0000  0.5175 [3 per cell]  3 As 2.71

This record from the Alexandria database describes a relaxed structure of Zr2NpSn. The functional is PBE.

Calculated values
formation enthalpy at 0 K: 0.07 eV/atom
DOS(E_F): 6.6 states/eV/f.u.

a b c (Å): 3.2946 3.2946 30.1565
angles (deg): 90.00 90.00 120.00
Last column: nearest neighbours and their distance in Å.
Space group R-3m (No. 166, hexagonal axes)
Asymmetric unit:
Zr  0.0000  0.0000  0.2490 [6 per cell]  3 Sn 3.13, 3 Np 3.17, 6 Zr 3.29
Np  0.0000  0.0000  0.0000 [3 per cell]  6 Zr 3.17, 6 Np 3.29
Sn  0.0000  0.0000  0.5000 [3 per cell]  6 Zr 3.13, 6 Sn 3.29

This record from the Alexandria database describes a relaxed structure of CsHgBOs2. The functional is PBE.

Calculated values
formation enthalpy at 0 K: 1.34 eV/atom
DOS(E_F): 6.5 states/eV/f.u.

a b c (Å): 4.2109 4.2109 6.4757
angles (deg): 90.00 90.00 90.00
Last column: nearest neighbours and their distance in Å.
Space group P4/mmm (No. 123)
Asymmetric unit:
Cs  0.0000  0.0000  0.0000 [1 per cell]  4 Hg 2.98, 2 B 3.24
Hg  0.5000  0.5000  0.0000 [1 per cell]  4 Cs 2.98
B  0.0000  0.0000  0.5000 [1 per cell]  4 Os 2.11
Os  0.0000  0.5000  0.5000 [2 per cell]  2 B 2.11

This record from the Alexandria database describes a relaxed structure of Pm4Sm5Zn. The functional is PBE.

Calculated values
formation enthalpy at 0 K: -0.05 eV/atom
DOS(E_F): 11.6 states/eV/f.u.

a b c (Å): 3.6446 3.6446 24.2158
angles (deg): 90.00 90.00 90.00
Last column: nearest neighbours and their distance in Å.
Space group P4/mmm (No. 123)
Asymmetric unit:
Pm  0.0000  0.0000  0.1058 [2 per cell]  8 Sm 3.63-3.65, 4 Pm 3.64
Pm  0.0000  0.0000  0.3179 [2 per cell]  8 Sm 3.62-3.67, 4 Pm 3.64
Sm  0.5000  0.5000  0.0000 [1 per cell]  8 Pm 3.63, 4 Sm 3.64
Sm  0.5000  0.5000  0.2128 [2 per cell]  8 Pm 3.62-3.65, 4 Sm 3.64
Sm  0.5000  0.5000  0.4259 [2 per cell]  4 Zn 3.14
Zn  0.0000  0.0000  0.5000 [1 per cell]  8 Sm 3.14